Record 1
The following is a PBE-GGA calculation of an optimized crystal structure of K2MnAl, from Alexandria via LeMat-Bulk.

a = 3.299 Å, b = 3.299 Å, c = 11.745 Å
α = 90.00°, β = 90.00°, γ = 96.15°
Fractional positions:
K 0.000 0.000 0.246
K 0.000 0.000 0.754
Mn 0.500 0.500 0.500
Al 0.500 0.500 0.000

Results
total moment: 4.426 μB per formula unit
energy of formation: 0.83 eV per atom
raw total energy: -2.949 eV per atom

Record 2
The following is a PBE-GGA calculation of an optimized crystal structure of K2MnAl, from Alexandria via LeMat-Bulk.

a = 5.538 Å, b = 5.534 Å, c = 5.529 Å
α = 60.07°, β = 60.01°, γ = 59.92°
Fractional positions:
K 0.000 0.000 0.000
K 0.250 0.250 0.250
Mn 0.500 0.500 0.500
Al 0.750 0.750 0.750

Results
total moment: 4.006 μB per formula unit
energy of formation: 0.69 eV per atom
raw total energy: -3.092 eV per atom

Record 3
The following is a PBE-GGA calculation of an optimized crystal structure of K2MnAl, from Alexandria via LeMat-Bulk.

a = 9.490 Å, b = 9.490 Å, c = 9.490 Å
α = 93.85°, β = 93.85°, γ = 149.95°
Fractional positions:
K 0.375 0.191 0.316
K 0.809 0.125 0.184
K 0.875 0.059 0.684
K 0.941 0.625 0.816
Mn 0.000 0.000 0.000
Mn 0.750 0.250 0.500
Al 0.250 0.750 0.500
Al 0.500 0.500 0.000

Results
total moment: 3.967 μB per formula unit
energy of formation: 0.67 eV per atom
raw total energy: -3.104 eV per atom

Record 4
The following is a PBE-GGA calculation of an optimized crystal structure of KMnAl2, from Alexandria via LeMat-Bulk.

a = 3.075 Å, b = 3.075 Å, c = 9.079 Å
α = 90.00°, β = 90.00°, γ = 90.00°
Fractional positions:
K 0.000 0.000 0.000
Mn 0.500 0.500 0.328
Al 0.000 0.000 0.485
Al 0.500 0.500 0.688

Results
energy above the most stable polymorph in this dataset: 186.2 meV/atom
total moment: 3.371 μB per formula unit
energy of formation: 0.36 eV per atom
raw total energy: -4.080 eV per atom